# 1
Compound: Tb2PuGa
Source: Alexandria via LeMat-Bulk
Functional: GGA-PBE
Structure: optimized geometry

```
Tb2PuGa
1.0
3.544 0.000 0.000
1.772 3.069 0.000
1.772 1.023 10.236
Tb Ga Pu
2 1 1
direct
0.261 0.261 0.218
0.739 0.739 0.782
0.000 0.000 0.000
0.500 0.500 0.500
```

distance to the lowest polymorph of the same formula	0.099	eV per atom
energy of formation from the pure elements	-96	meV/atom

=====

# 2
Compound: BeSe2F
Source: Alexandria via LeMat-Bulk
Functional: GGA-PBE
Structure: optimized geometry

```
BeSe2F
1.0
2.609 -3.394 -0.370
-0.998 -3.193 -2.696
2.285 -0.571 -3.593
Be Se F
1 2 1
direct
0.000 0.000 0.000
0.250 0.250 0.250
0.750 0.750 0.750
0.500 0.500 0.500
```

distance to the lowest polymorph of the same formula	0.290	eV per atom
energy relative to the elements, uncorrected	-107	meV/atom

=====

Number 1: electronic total energy -27.003 eV/cell. Number 2: electronic total energy -12.996 eV/cell.